1.
This record from Alexandria describes Tb5NdSm2Dy after structural relaxation. The functional is PBE.

Geometry as POSCAR:
```
Tb5NdSm2Dy
1.0
-8.412 -0.771 -2.366
2.222 -6.082 -5.919
2.110 -2.096 9.447
Tb Nd Sm Dy
10 2 4 2
Direct
0.928 0.428 0.273
0.655 0.155 0.727
0.072 0.572 0.727
0.155 0.072 0.727
0.572 0.655 0.727
0.845 0.928 0.273
0.428 0.345 0.273
0.345 0.845 0.273
0.500 0.500 0.000
0.000 0.000 0.000
0.250 0.250 0.500
0.750 0.750 0.500
0.116 0.384 0.000
0.616 0.116 0.000
0.384 0.884 0.000
0.884 0.616 0.000
0.250 0.750 0.500
0.750 0.250 0.500
```

- Total moment: 0.0 μB/f.u.
- E: -0.323 Ry/atom
- ΔE_f: 0.273 eV per atom

2.
This record from Alexandria describes Nd4SmDy3Te8 after structural relaxation. The functional is PBE.

Geometry as POSCAR:
```
Nd4SmDy3Te8
1.0
-2.616 -5.033 6.739
5.010 -6.740 -3.088
3.735 7.827 1.539
Nd Sm Dy Te
4 1 3 8
Direct
0.500 0.000 0.000
0.500 0.000 0.500
0.000 0.000 0.000
0.000 0.000 0.500
0.000 0.500 0.000
0.500 0.500 0.000
0.500 0.500 0.500
0.000 0.500 0.500
0.249 0.740 0.991
0.248 0.740 0.497
0.254 0.263 0.508
0.743 0.740 0.991
0.257 0.260 0.009
0.746 0.737 0.492
0.752 0.260 0.503
0.751 0.260 0.009
```

- Total moment: 0.0 μB/f.u.
- E: -0.388 Ry/atom

3.
This record from Alexandria describes Nd3SmDy3Te8 after structural relaxation. The functional is PBE.

Geometry as POSCAR:
```
Nd3SmDy3Te8
1.0
-3.905 -5.163 -5.971
8.779 0.687 0.160
-4.198 -4.308 6.471
Nd Sm Dy Te
3 1 3 8
Direct
0.000 0.000 0.000
0.000 0.500 0.000
0.500 0.500 0.000
0.000 0.000 0.500
0.500 0.000 0.500
0.500 0.500 0.500
0.000 0.500 0.500
0.254 0.508 0.261
0.746 0.492 0.739
0.744 0.487 0.251
0.256 0.513 0.749
0.744 0.008 0.251
0.256 0.992 0.749
0.264 0.008 0.251
0.736 0.992 0.749
```

- Total moment: 0.0 μB/f.u.
- E: -0.388 Ry/atom

4.
This record from Alexandria describes Nd3Sm4DyTe8 after structural relaxation. The functional is PBE.

Geometry as POSCAR:
```
Nd3Sm4DyTe8
1.0
8.924 0.000 0.000
0.000 8.895 -0.015
-4.462 -4.449 6.307
Nd Sm Dy Te
3 4 1 8
Direct
0.500 0.500 0.000
0.500 0.500 0.500
0.000 0.500 0.500
0.500 0.000 0.000
0.500 0.000 0.500
0.000 0.000 0.000
0.000 0.000 0.500
0.000 0.500 0.000
0.247 0.750 0.003
0.247 0.750 0.494
0.248 0.245 0.497
0.756 0.750 0.003
0.244 0.250 0.997
0.752 0.755 0.503
0.753 0.250 0.506
0.753 0.250 0.997
```

- Total moment: 0.0 μB/f.u.
- E: -0.390 Ry/atom

5.
This record from Alexandria describes Nd4Sm3DyTe8 after structural relaxation. The functional is PBE.

Geometry as POSCAR:
```
Nd4Sm3DyTe8
1.0
-6.694 -3.664 4.590
-0.665 -6.470 -6.134
7.811 1.540 3.982
Nd Sm Dy Te
4 3 1 8
Direct
0.500 0.000 0.000
0.500 0.000 0.500
0.000 0.000 0.000
0.000 0.000 0.500
0.500 0.500 0.000
0.500 0.500 0.500
0.000 0.500 0.500
0.000 0.500 0.000
0.246 0.743 0.997
0.246 0.743 0.491
0.252 0.255 0.503
0.751 0.743 0.997
0.249 0.257 0.003
0.748 0.745 0.497
0.754 0.257 0.509
0.754 0.257 0.003
```

- Total moment: 0.0 μB/f.u.
- E: -0.391 Ry/atom

6.
This record from Alexandria describes NdSm2DyTe6 after structural relaxation. The functional is PBE.

Geometry as POSCAR:
```
NdSm2DyTe6
1.0
-0.945 -6.705 3.964
1.703 -6.853 -3.419
6.948 -4.048 2.574
Nd Sm Dy Te
1 2 1 6
Direct
0.821 0.821 0.538
0.512 0.512 0.464
0.010 0.010 0.970
0.323 0.323 0.031
0.598 0.228 0.250
0.228 0.924 0.250
0.924 0.599 0.250
0.412 0.723 0.754
0.723 0.110 0.754
0.110 0.412 0.754
```

- Total moment: 0.0 μB/f.u.
- E: -0.378 Ry/atom

7.
This record from Alexandria describes Nd2SmDyTe5 after structural relaxation. The functional is PBE.

Geometry as POSCAR:
```
Nd2SmDyTe5
1.0
5.640 0.000 0.000
0.000 5.640 0.000
0.000 0.000 11.647
Nd Sm Dy Te
2 1 1 5
Direct
0.500 0.500 0.342
0.500 0.500 0.658
0.000 0.000 0.500
0.000 0.000 0.000
0.000 0.500 0.500
0.500 0.000 0.500
0.000 0.000 0.757
0.000 0.000 0.243
0.500 0.500 0.000
```

- Total moment: 0.6 μB/f.u.
- E: -0.337 Ry/atom

8.
This record from Alexandria describes NdSmDyTh after structural relaxation. The functional is PBE.

Geometry as POSCAR:
```
NdSmDyTh
1.0
5.730 0.000 0.000
2.865 4.962 0.000
2.865 1.654 4.678
Nd Sm Th Dy
1 1 1 1
Direct
0.000 0.000 0.000
0.250 0.250 0.250
0.500 0.500 0.500
0.750 0.750 0.750
```

- Total moment: 0.0 μB/f.u.
- E: -0.383 Ry/atom
- ΔE_f: 0.165 eV per atom
- Distance to the lowest polymorph of the same formula: 140 meV/atom

9.
This record from Alexandria describes NdSmDy2Th after structural relaxation. The functional is PBE.

Geometry as POSCAR:
```
NdSmDy2Th
1.0
5.824 0.000 0.000
0.000 5.812 2.349
0.000 -0.500 9.622
Nd Sm Dy Th
2 2 4 2
Direct
0.250 0.777 0.295
0.750 0.223 0.705
0.250 0.571 0.703
0.750 0.429 0.297
0.750 0.835 0.493
0.750 0.642 0.903
0.250 0.165 0.507
0.250 0.358 0.097
0.250 0.964 0.907
0.750 0.036 0.093
```

- Total moment: 0.0 μB/f.u.
- E: -0.381 Ry/atom
- ΔE_f: 0.045 eV per atom

10.
This record from Alexandria describes NdSm6Dy3Th2 after structural relaxation. The functional is PBE.

Geometry as POSCAR:
```
NdSm6Dy3Th2
1.0
-3.443 4.801 2.017
-1.712 -5.848 1.359
8.102 0.776 8.759
Nd Sm Dy Th
1 6 3 2
Direct
0.000 0.000 0.000
0.917 0.578 0.751
0.745 0.745 0.249
0.083 0.422 0.249
0.578 0.917 0.751
0.255 0.255 0.751
0.422 0.083 0.249
0.167 0.833 0.500
0.833 0.167 0.500
0.500 0.500 0.500
0.333 0.667 0.000
0.667 0.333 0.000
```

- Total moment: 0.0 μB/f.u.
- E: -0.375 Ry/atom
- ΔE_f: 0.039 eV per atom

11.
This record from Alexandria describes Nd2SmDy2Th2 after structural relaxation. The functional is PBE.

Geometry as POSCAR:
```
Nd2SmDy2Th2
1.0
-5.055 3.076 -0.949
-0.636 -5.612 4.119
6.886 10.806 -1.653
Nd Sm Dy Th
2 1 2 2
Direct
0.727 0.454 0.804
0.273 0.546 0.196
0.000 0.000 0.500
0.437 0.874 0.083
0.563 0.126 0.917
0.848 0.697 0.631
0.152 0.303 0.369
```

- Total moment: 0.0 μB/f.u.
- E: -0.392 Ry/atom
- ΔE_f: 0.142 eV per atom

12.
This record from Alexandria describes NdSmDy5Th2 after structural relaxation. The functional is PBE.

Geometry as POSCAR:
```
NdSmDy5Th2
1.0
8.878 0.000 0.000
0.000 8.878 0.000
-4.439 -4.439 7.651
Nd Sm Dy Th
2 2 10 4
Direct
0.250 0.250 0.500
0.750 0.750 0.500
0.250 0.750 0.500
0.750 0.250 0.500
0.930 0.430 0.274
0.656 0.156 0.726
0.070 0.570 0.726
0.156 0.070 0.726
0.570 0.656 0.726
0.844 0.930 0.274
0.430 0.344 0.274
0.344 0.844 0.274
0.500 0.500 0.000
0.000 0.000 0.000
0.119 0.381 0.000
0.619 0.119 0.000
0.381 0.881 0.000
0.881 0.619 0.000
```

- Total moment: 0.0 μB/f.u.
- E: -0.363 Ry/atom
- ΔE_f: 0.323 eV per atom